A plane-wave DFT calculation with PBE-GGA was carried out for a relaxed structure of BaHgAs2.

The value obtained for the formation energy from the elements is -0.22 eV per atom.

Cell lengths 4.098, 4.098, 6.680 Å; angles 90.00, 90.00, 90.00 degrees
Space group P4/mmm (No. 123)
Inequivalent atoms, fractional coordinates:
1 Ba 0.000 0.000 0.000
2 Hg 0.000 0.000 0.500
3 As 0.500 0.500 0.313



A plane-wave DFT calculation with PBE-GGA was carried out for a relaxed structure of CeZrCl6.

The value obtained for the formation energy without anion corrections is -1.910 eV per atom.

Cell lengths 6.617, 12.451, 6.585 Å; angles 90.00, 107.75, 90.00 degrees
Space group C2/m (No. 12)
Inequivalent atoms, fractional coordinates:
1 Ce 0.000 0.000 0.000
2 Zr 0.000 0.500 0.500
3 Cl 0.224 0.353 0.737
4 Cl 0.245 0.500 0.272